VASP calculation (PBE) on crystalline HfNi3Hg at its relaxed geometry.

```
5
Lattice="4.6217 0.0000 0.0000 0.0000 4.6217 0.0000 0.0000 0.0000 4.6217" Properties=species:S:1:pos:R:3 pbc="T T T"
Ni 0.0000 2.3108 0.0000
Ni 0.0000 0.0000 2.3108
Ni 2.3108 0.0000 0.0000
Hf 2.3108 2.3108 2.3108
Hg 0.0000 0.0000 0.0000
```

ΔE_f = 1.13 eV per atom
D(E_F) = 1.26 states/eV per atom
energy = -0.1613 hartree per atom
space-group type = Pm-3m, No. 221
spin magnetization = 0.000 μB/cell
relative energy among the computed polymorphs = 11.0 kJ per mole of atoms